Entry 1:
This record from Alexandria describes crystalline NaTlHgH at its relaxed geometry. The functional is PBE.

Values from the calculation:
VASP energy = -1.633 eV/atom
SG = F-43m (216)

a = 5.064 Å, b = 5.064 Å, c = 5.064 Å
α = 60.00°, β = 60.00°, γ = 60.00°
Fractional positions:
Tl (0.250, 0.250, 0.250)
Na (0.750, 0.750, 0.750)
H (0.500, 0.500, 0.500)
Hg (0.000, 0.000, 0.000)

=====

Entry 2:
This record from Alexandria describes crystalline TcOs3 at its relaxed geometry. The functional is PBE.

Values from the calculation:
VASP energy = -10.928 eV/atom
Polymorph energy (0 for the lowest one) = 15.6 kJ per mole of atoms
SG = I4/mmm (139)

a = 3.862 Å, b = 3.862 Å, c = 4.728 Å
α = 114.11°, β = 114.11°, γ = 90.00°
Fractional positions:
Os (0.500, 0.500, 0.000)
Os (0.750, 0.250, 0.500)
Os (0.250, 0.750, 0.500)
Tc (0.000, 0.000, 0.000)

=====

Entry 3:
This record from Alexandria describes crystalline Rb3Hg4Pd4 at its relaxed geometry. The functional is PBE.

Values from the calculation:
VASP energy = -2.516 eV/atom
SG = I-43m (217)

a = 7.404 Å, b = 7.404 Å, c = 7.404 Å
α = 109.47°, β = 109.47°, γ = 109.47°
Fractional positions:
Rb (0.500, 0.500, 0.000)
Rb (0.000, 0.500, 0.500)
Rb (0.500, 0.000, 0.500)
Pd (0.000, 0.231, 0.000)
Pd (0.231, 0.000, 0.000)
Pd (0.000, 0.000, 0.231)
Pd (0.769, 0.769, 0.769)
Hg (0.600, 0.000, 0.000)
Hg (0.400, 0.400, 0.400)
Hg (0.000, 0.600, 0.000)
Hg (0.000, 0.000, 0.600)

=====

Entry 4:
This record from Alexandria describes crystalline Sr3Hg4Au4 at its relaxed geometry. The functional is PBE.

Values from the calculation:
VASP energy = -2.286 eV/atom
SG = P-1 (2)

a = 4.087 Å, b = 4.712 Å, c = 15.749 Å
α = 81.24°, β = 82.58°, γ = 90.00°
Fractional positions:
Au (0.687, 0.187, 0.629)
Au (0.313, 0.813, 0.371)
Au (0.541, 0.545, 0.911)
Au (0.459, 0.455, 0.090)
Sr (0.000, 0.000, 0.000)
Sr (0.853, 0.353, 0.291)
Sr (0.147, 0.647, 0.709)
Hg (0.404, 0.904, 0.189)
Hg (0.596, 0.096, 0.811)
Hg (0.257, 0.255, 0.487)
Hg (0.743, 0.745, 0.513)

=====

Entry 5:
This record from Alexandria describes crystalline TlCd2BPd at its relaxed geometry. The functional is PBE.

Values from the calculation:
VASP energy = -2.244 eV/atom
SG = P4/mmm (123)

a = 5.179 Å, b = 5.185 Å, c = 5.179 Å
α = 90.00°, β = 90.00°, γ = 90.00°
Fractional positions:
Cd (0.500, 0.000, 0.000)
Cd (0.000, 0.000, 0.500)
B (0.500, 0.500, 0.500)
Tl (0.000, 0.500, 0.000)
Pd (0.000, 0.000, 0.000)

=====

Entry 6:
This record from Alexandria describes crystalline SrInPb2I at its relaxed geometry. The functional is PBE.

Values from the calculation:
VASP energy = -2.457 eV/atom
E_form (uncorrected) = 0.220 eV/atom
SG = P4/mmm (123)

a = 6.061 Å, b = 6.097 Å, c = 6.061 Å
α = 90.00°, β = 90.00°, γ = 90.00°
Fractional positions:
Pb (0.500, 0.000, 0.000)
Pb (0.000, 0.000, 0.500)
In (0.000, 0.500, 0.000)
Sr (0.500, 0.500, 0.500)
I (0.000, 0.000, 0.000)

=====

Copy entry 3 word for word.
This record from Alexandria describes crystalline Rb3Hg4Pd4 at its relaxed geometry. The functional is PBE.

Values from the calculation:
VASP energy = -2.516 eV/atom
SG = I-43m (217)

a = 7.404 Å, b = 7.404 Å, c = 7.404 Å
α = 109.47°, β = 109.47°, γ = 109.47°
Fractional positions:
Rb (0.500, 0.500, 0.000)
Rb (0.000, 0.500, 0.500)
Rb (0.500, 0.000, 0.500)
Pd (0.000, 0.231, 0.000)
Pd (0.231, 0.000, 0.000)
Pd (0.000, 0.000, 0.231)
Pd (0.769, 0.769, 0.769)
Hg (0.600, 0.000, 0.000)
Hg (0.400, 0.400, 0.400)
Hg (0.000, 0.600, 0.000)
Hg (0.000, 0.000, 0.600)